The following is a PBE calculation of a geometry-optimized K2LiAgI4 structure, from Alexandria.

POSCAR file:
```
K2LiAgI4
1.0
-9.185 -1.374 1.267
-0.958 -0.249 -9.321
6.072 -5.725 4.109
Ag I K Li
2 8 4 2
Direct
0.000 0.500 0.500
0.000 0.500 0.000
0.756 0.740 0.528
0.792 0.268 0.026
0.240 0.256 0.028
0.760 0.744 0.972
0.208 0.732 0.974
0.768 0.292 0.526
0.244 0.260 0.472
0.232 0.708 0.474
0.500 0.000 0.000
0.500 0.000 0.500
0.500 0.500 0.000
0.000 0.000 0.500
0.500 0.500 0.500
0.000 0.000 0.000
```

## Properties
- E_form (uncorrected) (eV per atom) = -1.038
- density (g/cm3) = 4.01
- size of the total moment (μB/atom) = 0.000
- uncorrected energy (eV per atom) = -2.68
- Fermi-level density of states (states/eV/atom) = 0.000